(1)
Density functional theory data (PBE) for a relaxed structure of CuRePt2.

Calculated values
The calculation puts the energy above the lowest structure with this stoichiometry at 0.180 eV per atom. As for the calculated volume: 14.70 Å³ per atom. The total energy comes out at -28.55 eV per cell. The energy of formation from the pure elements is 0.019 eV/atom.

Lattice parameters (Å, degrees): 2.743 3.911 5.480 90.00 90.00 90.00
Space group Pmm2 (No. 25)
Unique sites:
Cu 0.000 0.000 0.000 x1
Re 0.500 0.500 0.739 x1
Pt 0.000 0.000 0.520 x1
Pt 0.500 0.500 0.225 x1

(2)
Density functional theory data (PBE) for a relaxed structure of CuRePt3.

Calculated values
The calculation puts the energy above the lowest structure with this stoichiometry at 0.000 eV per atom. As for the calculated volume: 22.50 Å³ per atom. The total energy comes out at -27.83 eV per cell. The energy of formation from the pure elements is 1.368 eV/atom.

Lattice parameters (Å, degrees): 4.827 4.827 4.827 90.00 90.00 90.00
Space group Pm-3m (No. 221)
Unique sites:
Cu 0.000 0.000 0.000 x1
Re 0.500 0.500 0.500 x1
Pt 0.000 0.500 0.500 x3

(3)
Density functional theory data (PBE) for a relaxed structure of CuRePt2.

Calculated values
The calculation puts the energy above the lowest structure with this stoichiometry at 0.386 eV per atom. As for the calculated volume: 14.70 Å³ per atom. The total energy comes out at -27.72 eV per cell. The energy of formation from the pure elements is 0.226 eV/atom.

Lattice parameters (Å, degrees): 3.867 3.867 3.933 90.00 90.00 90.00
Space group P4/mmm (No. 123)
Unique sites:
Cu 0.000 0.000 0.000 x1
Re 0.500 0.500 0.000 x1
Pt 0.000 0.500 0.500 x2